Material: LaPr2ErTm2
Method: DFT, PBE-GGA
State: relaxed

The structure in CIF format:
```
data_LaPr2ErTm2
_chemical_formula_sum 'La2 Pr4 Er2 Tm4'
_cell_length_a 7.072
_cell_length_b 9.917
_cell_length_c 5.690
_cell_angle_alpha 90.00
_cell_angle_beta 90.00
_cell_angle_gamma 90.00
_symmetry_space_group_name_H-M 'P 1'
_symmetry_Int_Tables_number 1
_symmetry_space_group_name_Hall 'P 1'
loop_
_atom_site_label
_atom_site_type_symbol
_atom_site_fract_x
_atom_site_fract_y
_atom_site_fract_z
La1 La 0.000 0.000 0.000
La2 La 0.500 0.500 0.500
Pr1 Pr 0.246 0.333 0.000
Pr2 Pr 0.254 0.833 0.500
Pr3 Pr 0.746 0.167 0.500
Pr4 Pr 0.754 0.667 0.000
Er1 Er 0.000 0.500 0.500
Er2 Er 0.500 0.000 0.000
Tm1 Tm 0.250 0.167 0.500
Tm2 Tm 0.250 0.667 0.000
Tm3 Tm 0.750 0.333 0.000
Tm4 Tm 0.750 0.833 0.500
```

Properties
Energy relative to the elements: 0.07 eV/atom
Total magnetization: 0.00 μB per cell
SG: No. 58
Calculated volume: 33.252 A^3/atom